1.
The following is a DFT calculation (PBE) of a relaxed structure of ReIrNO.

**Total magnetization**: 0.0 μB per formula unit
**Energy above the lowest structure with this stoichiometry**: 0.478 eV per atom
**Uncorrected energy**: -66.4 eV/cell

abc: 3.807 3.807 6.121
angles: 90.00 90.00 90.00
Space group P4/nmm (No. 129, origin choice 2)
Unique sites:
Re (0.250, 0.750, 0.000) x2
Ir (0.250, 0.250, 0.325) x2
N (0.250, 0.250, 0.860) x2
O (0.250, 0.750, 0.500) x2


2.
The following is a DFT calculation (PBE) of a relaxed structure of NaAl3NiCl12.

**Total magnetization**: 2.0 μB per formula unit
**Uncorrected energy**: -256.6 eV/cell

abc: 13.526 11.967 12.117
angles: 90.00 105.47 90.00
Space group P2_1/c (No. 14)
Unique sites:
Na (0.209, 0.207, 0.483) x4
Al (0.109, 0.578, 0.175) x4
Al (0.221, 0.014, 0.174) x4
Al (0.480, 0.247, 0.611) x4
Ni (0.286, 0.739, 0.741) x4
Cl (0.032, 0.149, 0.311) x4
Cl (0.096, 0.095, 0.634) x4
Cl (0.122, 0.087, 0.024) x4
Cl (0.145, 0.615, 0.749) x4
Cl (0.180, 0.674, 0.064) x4
Cl (0.224, 0.612, 0.337) x4
Cl (0.294, 0.137, 0.296) x4
Cl (0.339, 0.593, 0.635) x4
Cl (0.378, 0.122, 0.644) x4
Cl (0.388, 0.667, 0.925) x4
Cl (0.396, 0.144, 0.981) x4
Cl (0.438, 0.659, 0.236) x4


3.
The following is a DFT calculation (PBE) of a relaxed structure of KReAuO3.

**Total magnetization**: 0.0 μB per formula unit
**Uncorrected energy**: -153.0 eV/cell

abc: 11.791 3.092 10.528
angles: 90.00 90.00 90.00
Space group Pnma (No. 62)
Unique sites:
K (0.244, 0.250, 0.091) x4
Re (0.047, 0.750, 0.368) x4
Au (0.036, 0.750, 0.904) x4
O (0.049, 0.750, 0.692) x4
O (0.086, 0.250, 0.485) x4
O (0.174, 0.750, 0.281) x4


4.
The following is a DFT calculation (PBE) of a relaxed structure of Nd3InGaNi4.

**Total magnetization**: 0.0 μB per formula unit
**Uncorrected energy**: -92.6 eV/cell

abc: 10.141 4.213 8.532
angles: 90.00 97.76 90.00
Space group Cm (No. 8)
Unique sites:
Nd (0.000, 0.000, 0.000) x2
Nd (0.120, 0.500, 0.372) x2
Nd (0.367, 0.000, 0.609) x2
In (0.175, 0.500, 0.781) x2
Ga (0.323, 0.000, 0.220) x2
Ni (0.068, 0.000, 0.608) x2
Ni (0.241, 0.500, 0.094) x2
Ni (0.276, 0.000, 0.933) x2
Ni (0.412, 0.500, 0.356) x2


5.
The following is a DFT calculation (PBE) of a relaxed structure of ZrBe.

**Total magnetization**: 0.0 μB per formula unit
**Uncorrected energy**: -46.6 eV/cell

abc: 5.190 5.190 5.190
angles: 90.00 90.00 90.00
Space group Fm-3m (No. 225)
Unique sites:
Zr (0.000, 0.000, 0.000) x4
Be (0.000, 0.000, 0.500) x4


6.
The following is a DFT calculation (PBE) of a relaxed structure of YTmGe2Au2.

**Total magnetization**: 0.0 μB per formula unit
**Uncorrected energy**: -31.6 eV/cell

abc: 4.4821 4.4821 7.2508
angles: 90.00 90.00 120.00
Space group P3m1 (No. 156)
Unique sites:
Y (0.0000, 0.0000, 0.0000) x1
Tm (0.0000, 0.0000, 0.4996) x1
Ge (0.3333, 0.6667, 0.2069) x1
Ge (0.6667, 0.3333, 0.7059) x1
Au (0.3333, 0.6667, 0.7944) x1
Au (0.6667, 0.3333, 0.2963) x1


7.
The following is a DFT calculation (PBE) of a relaxed structure of Tb2Tm2Al.

**Total magnetization**: 0.6 μB per formula unit
**Uncorrected energy**: -44.2 eV/cell

abc: 3.596 7.923 10.344
angles: 90.00 90.00 90.00
Space group Immm (No. 71)
Unique sites:
Tb (0.000, 0.000, 0.248) x4
Tm (0.000, 0.300, 0.000) x4
Al (0.000, 0.500, 0.500) x2


8.
The following is a DFT calculation (PBE) of a relaxed structure of NaTaTc.

**Total magnetization**: 0.0 μB per formula unit
**Energy above the lowest structure with this stoichiometry**: 0.000 eV per atom
**Uncorrected energy**: -79.7 eV/cell

abc: 6.226 6.226 6.226
angles: 90.00 90.00 90.00
Space group F-43m (No. 216)
Unique sites:
Na (0.000, 0.000, 0.000) x4
Ta (0.000, 0.000, 0.500) x4
Tc (0.250, 0.250, 0.250) x4


What is the formula in the sixth record?
YTmGe2Au2


uncorrected energy of number 6 (YTmGe2Au2)?
-31.6 eV/cell